Here is a relaxed structure of GdZrMo from OQMD via LeMat-Bulk. Energies are from GGA-PBE.

## Properties
Magnetization (μB/f.u.): 0.47
DFT formation energy (meV/atom): 1359

```
data_GdZrMo
_chemical_formula_sum 'Gd4 Zr4 Mo4'
_symmetry_space_group_name_H-M 'F -4 3 m'
_symmetry_Int_Tables_number 216
_symmetry_space_group_name_Hall 'F -4 2 3'
_cell_length_a 6.6446
_cell_length_b 6.6446
_cell_length_c 6.6446
_cell_angle_alpha 90.00
_cell_angle_beta 90.00
_cell_angle_gamma 90.00
loop_
_atom_site_label
_atom_site_type_symbol
_atom_site_fract_x
_atom_site_fract_y
_atom_site_fract_z
Gd1 Gd 0.0000 0.0000 0.0000
Zr1 Zr 0.2500 0.2500 0.2500
Mo1 Mo 0.2500 0.2500 0.7500
```

***

Here is a relaxed structure of La2TbZn2Si4Au2 from OQMD via LeMat-Bulk. Energies are from GGA-PBE.

## Properties
Magnetization (μB/f.u.): 0.00

```
data_La2TbZn2Si4Au2
_chemical_formula_sum 'La4 Tb2 Zn4 Si8 Au4'
_symmetry_space_group_name_H-M 'I m m m'
_symmetry_Int_Tables_number 71
_symmetry_space_group_name_Hall '-I 2 2'
_cell_length_a 4.2586
_cell_length_b 4.2808
_cell_length_c 24.8217
_cell_angle_alpha 90.00
_cell_angle_beta 90.00
_cell_angle_gamma 90.00
loop_
_atom_site_label
_atom_site_type_symbol
_atom_site_fract_x
_atom_site_fract_y
_atom_site_fract_z
La1 La 0.0000 0.0000 0.1448
Tb1 Tb 0.0000 0.5000 0.5000
Zn1 Zn 0.0000 0.0000 0.4070
Si1 Si 0.0000 0.0000 0.3096
Si2 Si 0.0000 0.5000 0.0470
Au1 Au 0.0000 0.5000 0.2497
```

***

Here is a relaxed structure of LiMg2Pt from OQMD via LeMat-Bulk. Energies are from GGA-PBE.

## Properties
Magnetization (μB/f.u.): 0.00
Distance to the lowest polymorph of the same formula (eV per atom): 0.000

```
data_LiMg2Pt
_chemical_formula_sum 'Li4 Mg8 Pt4'
_symmetry_space_group_name_H-M 'F m -3 m'
_symmetry_Int_Tables_number 225
_symmetry_space_group_name_Hall '-F 4 2 3'
_cell_length_a 6.4036
_cell_length_b 6.4036
_cell_length_c 6.4036
_cell_angle_alpha 90.00
_cell_angle_beta 90.00
_cell_angle_gamma 90.00
loop_
_atom_site_label
_atom_site_type_symbol
_atom_site_fract_x
_atom_site_fract_y
_atom_site_fract_z
Li1 Li 0.0000 0.0000 0.0000
Mg1 Mg 0.2500 0.2500 0.2500
Pt1 Pt 0.0000 0.0000 0.5000
```

***

Here is a relaxed structure of SrSiAg from OQMD via LeMat-Bulk. Energies are from GGA-PBE.

```
data_SrSiAg
_chemical_formula_sum 'Sr4 Si4 Ag4'
_symmetry_space_group_name_H-M 'F -4 3 m'
_symmetry_Int_Tables_number 216
_symmetry_space_group_name_Hall 'F -4 2 3'
_cell_length_a 6.8279
_cell_length_b 6.8279
_cell_length_c 6.8279
_cell_angle_alpha 90.00
_cell_angle_beta 90.00
_cell_angle_gamma 90.00
loop_
_atom_site_label
_atom_site_type_symbol
_atom_site_fract_x
_atom_site_fract_y
_atom_site_fract_z
Sr1 Sr 0.0000 0.0000 0.0000
Si1 Si 0.0000 0.0000 0.5000
Ag1 Ag 0.2500 0.2500 0.7500
```

***

Here is a relaxed structure of AgB6Cl6 from OQMD via LeMat-Bulk. Energies are from GGA-PBE.

```
data_AgB6Cl6
_chemical_formula_sum 'Ag8 B48 Cl48'
_symmetry_space_group_name_H-M 'P a -3'
_symmetry_Int_Tables_number 205
_symmetry_space_group_name_Hall '-P 2ac 2ab 3'
_cell_length_a 12.4749
_cell_length_b 12.4749
_cell_length_c 12.4749
_cell_angle_alpha 90.00
_cell_angle_beta 90.00
_cell_angle_gamma 90.00
loop_
_atom_site_label
_atom_site_type_symbol
_atom_site_fract_x
_atom_site_fract_y
_atom_site_fract_z
Ag1 Ag 0.1314 0.1314 0.1314
B1 B 0.0274 0.5309 0.8693
B2 B 0.0658 0.0940 0.4275
Cl1 Cl 0.0530 0.5582 0.7298
Cl2 Cl 0.1321 0.1958 0.3516
```

***

Here is a relaxed structure of CsNbCdSe3 from OQMD via LeMat-Bulk. Energies are from GGA-PBE.

## Properties
Magnetization (μB/f.u.): 0.00

```
data_CsNbCdSe3
_chemical_formula_sum 'Cs2 Nb2 Cd2 Se6'
_symmetry_space_group_name_H-M 'P 1 21/m 1'
_symmetry_Int_Tables_number 11
_symmetry_space_group_name_Hall '-P 2yb'
_cell_length_a 9.0043
_cell_length_b 3.9118
_cell_length_c 10.8828
_cell_angle_alpha 90.00
_cell_angle_beta 112.51
_cell_angle_gamma 90.00
loop_
_atom_site_label
_atom_site_type_symbol
_atom_site_fract_x
_atom_site_fract_y
_atom_site_fract_z
Cs1 Cs 0.0429 0.2500 0.2735
Nb1 Nb 0.4759 0.2500 0.0983
Cd1 Cd 0.4676 0.7500 0.3754
Se1 Se 0.2743 0.7500 0.1236
Se2 Se 0.3125 0.2500 0.8476
Se3 Se 0.3153 0.7500 0.5560
```

***

Here is a relaxed structure of LiNb5 from OQMD via LeMat-Bulk. Energies are from GGA-PBE.

## Properties
Magnetization (μB/f.u.): 0.00

```
data_LiNb5
_chemical_formula_sum 'Li1 Nb5'
_symmetry_space_group_name_H-M 'P 6/m m m'
_symmetry_Int_Tables_number 191
_symmetry_space_group_name_Hall '-P 6 2'
_cell_length_a 5.7261
_cell_length_b 5.7261
_cell_length_c 4.4047
_cell_angle_alpha 90.00
_cell_angle_beta 90.00
_cell_angle_gamma 120.00
loop_
_atom_site_label
_atom_site_type_symbol
_atom_site_fract_x
_atom_site_fract_y
_atom_site_fract_z
Li1 Li 0.0000 0.0000 0.0000
Nb1 Nb 0.0000 0.5000 0.5000
Nb2 Nb 0.3333 0.6667 0.0000
```

***

Here is a relaxed structure of TbErTa2Ge2 from OQMD via LeMat-Bulk. Energies are from GGA-PBE.

## Properties
Magnetization (μB/f.u.): 1.06

```
data_TbErTa2Ge2
_chemical_formula_sum 'Tb1 Er1 Ta2 Ge2'
_symmetry_space_group_name_H-M 'P 4 m m'
_symmetry_Int_Tables_number 99
_symmetry_space_group_name_Hall 'P 4 -2'
_cell_length_a 4.0195
_cell_length_b 4.0195
_cell_length_c 7.8328
_cell_angle_alpha 90.00
_cell_angle_beta 90.00
_cell_angle_gamma 90.00
loop_
_atom_site_label
_atom_site_type_symbol
_atom_site_fract_x
_atom_site_fract_y
_atom_site_fract_z
Tb1 Tb 0.0000 0.0000 0.0000
Er1 Er 0.5000 0.5000 0.2978
Ta1 Ta 0.0000 0.5000 0.6481
Ge1 Ge 0.0000 0.0000 0.4023
Ge2 Ge 0.5000 0.5000 0.8941
```

***

In the order shown, the computed uncorrected energy values come out to -6.658 -4.745 -3.402 -3.297 -4.821 -4.516 -8.120 -7.615 eV per atom.